[1]
A relaxed structure of Y4CdAu. Source: Alexandria, functional GGA-PBE.

a b c (Å): 7.0631 7.3427 7.3142
angles (deg): 90.00 93.42 90.00
Closest atoms and distances in Å follow each position.
Element x y z (fractional)
Au (0.0000, 0.5000, 0.5000)  6 Y 2.79-2.96
Y (0.3772, 0.8512, 0.1619)  1 Au 2.79, 2 Cd 2.99-3.05
Cd (0.5000, 0.5000, 0.0000)  6 Y 2.99-3.10
Y (0.1228, 0.3512, 0.8381)  1 Au 2.79, 2 Cd 2.99-3.05
Y (0.8772, 0.6488, 0.1619)  1 Au 2.79, 2 Cd 2.99-3.05
Y (0.3267, 0.3374, 0.3442)  2 Au 2.89-2.96, 1 Cd 3.10
Au (0.5000, 0.0000, 0.5000)  6 Y 2.79-2.96
Y (0.1733, 0.8374, 0.6558)  2 Au 2.89-2.96, 1 Cd 3.10
Cd (0.0000, 0.0000, 0.0000)  6 Y 2.99-3.10
Y (0.8267, 0.1626, 0.3442)  2 Au 2.89-2.96, 1 Cd 3.10
Y (0.6733, 0.6626, 0.6558)  2 Au 2.89-2.96, 1 Cd 3.10
Y (0.6228, 0.1488, 0.8381)  1 Au 2.79, 2 Cd 2.99-3.05

Output
- E_form: -0.18 eV/atom
- Energy: -62.22 eV per cell
- Crystal system: monoclinic
- Magnetic moment: 0.00 μB/f.u.
- Calculated volume: 378.7 Å³ per cell
- SG: P2_1/c, No. 14
- Offset from the most stable computed form: 0.2665 eV/atom



[2]
A relaxed structure of YCdAu3. Source: Alexandria, functional GGA-PBE.

a b c (Å): 5.0882 5.0882 5.0882
angles (deg): 90.00 90.00 90.00
Closest atoms and distances in Å follow each position.
Element x y z (fractional)
Y (0.5000, 0.5000, 0.5000)  12 Au 3.60
Au (0.0000, 0.5000, 0.0000)  2 Cd 2.54
Au (0.0000, 0.0000, 0.5000)  2 Cd 2.54
Au (0.5000, 0.0000, 0.0000)  2 Cd 2.54
Cd (0.0000, 0.0000, 0.0000)  6 Au 2.54

Output
- E_form: 0.14 eV/atom
- Energy: -16.51 eV per cell
- Crystal system: cubic
- Magnetic moment: 0.00 μB/f.u.
- Calculated volume: 131.7 Å³ per cell
- SG: Pm-3m, No. 221
- Offset from the most stable computed form: 0.6654 eV/atom